Entry 1:
Crystalline SbAu2Cl at its relaxed geometry. Source: Alexandria, functional GGA-PBEsol.

Results
**Crystal system**: orthorhombic
**M_tot**: 0.00 μB per formula unit
**Energy relative to the elements, uncorrected**: 0.41 eV/f.u.
**Symmetry**: No. 47
**Polymorph energy (0 for the lowest one)**: 0.00 eV per formula unit

a = 3.0217 Å, b = 4.7425 Å, c = 5.5685 Å
α = 90.00°, β = 90.00°, γ = 90.00°
Fractional positions:
Sb1 0.0000 0.5000 0.5000
Au1 0.0000 0.0000 0.0000
Au2 0.5000 0.5000 0.0000
Cl1 0.5000 0.0000 0.5000

=====

Entry 2:
Crystalline ScAuCl2 at its relaxed geometry. Source: Alexandria, functional GGA-PBEsol.

Results
**Crystal system**: tetragonal
**M_tot**: 0.00 μB per formula unit
**Energy relative to the elements, uncorrected**: -2.54 eV/f.u.
**Symmetry**: No. 123
**Polymorph energy (0 for the lowest one)**: 1.94 eV per formula unit

a = 3.9620 Å, b = 4.3058 Å, c = 4.3058 Å
α = 90.00°, β = 90.00°, γ = 90.00°
Fractional positions:
Sc1 0.5000 0.5000 0.5000
Au1 0.5000 0.0000 0.0000
Cl1 0.0000 0.0000 0.5000
Cl2 0.0000 0.5000 0.0000

=====

Entry 3:
Crystalline ScAuCl2 at its relaxed geometry. Source: Alexandria, functional GGA-PBEsol.

Results
**Crystal system**: orthorhombic
**M_tot**: 0.00 μB per formula unit
**Energy relative to the elements, uncorrected**: -4.49 eV/f.u.
**Symmetry**: No. 65
**Polymorph energy (0 for the lowest one)**: 0.00 eV per formula unit

a = 3.4849 Å, b = 5.3807 Å, c = 6.3532 Å
α = 115.03°, β = 90.00°, γ = 90.00°
Fractional positions:
Sc1 0.5000 0.0000 0.5000
Au1 0.5000 0.5000 0.5000
Cl1 0.0000 0.1498 0.7997
Cl2 0.0000 0.8502 0.2003

=====

Entry 4:
Crystalline AuSe2Cl at its relaxed geometry. Source: Alexandria, functional GGA-PBEsol.

Results
**Crystal system**: orthorhombic
**M_tot**: 0.00 μB per formula unit
**Energy relative to the elements, uncorrected**: 0.71 eV/f.u.
**Symmetry**: No. 71

a = 3.7932 Å, b = 5.2767 Å, c = 5.2767 Å
α = 65.11°, β = 68.93°, γ = 68.93°
Fractional positions:
Au1 0.0000 0.5000 0.5000
Se1 0.3041 0.6959 0.6959
Se2 0.6959 0.3041 0.3041
Cl1 0.5000 0.0000 0.0000

=====

Entry 5:
Crystalline AuSe2Cl at its relaxed geometry. Source: Alexandria, functional GGA-PBEsol.

Results
**Crystal system**: orthorhombic
**M_tot**: 0.00 μB per formula unit
**Energy relative to the elements, uncorrected**: 0.80 eV/f.u.
**Symmetry**: No. 44

a = 3.5818 Å, b = 5.3769 Å, c = 5.3769 Å
α = 77.72°, β = 70.54°, γ = 70.54°
Fractional positions:
Au1 0.4976 0.5024 0.5024
Se1 0.0206 0.9794 0.9794
Se2 0.7582 0.7418 0.7418
Cl1 0.2236 0.2764 0.2764

=====

Entry 6:
Crystalline AuSe2Cl at its relaxed geometry. Source: Alexandria, functional GGA-PBEsol.

Results
**Crystal system**: tetragonal
**M_tot**: 0.00 μB per formula unit
**Energy relative to the elements, uncorrected**: 0.51 eV/f.u.
**Symmetry**: No. 122

a = 5.0566 Å, b = 6.3058 Å, c = 6.3058 Å
α = 80.75°, β = 66.36°, γ = 66.36°
Fractional positions:
Au1 0.0000 0.0000 0.0000
Au2 0.7500 0.5000 0.5000
Se1 0.8750 0.0568 0.4432
Se2 0.3750 0.9432 0.5568
Se3 0.6818 0.4432 0.9432
Se4 0.0682 0.5568 0.0568
Cl1 0.5000 0.0000 0.0000
Cl2 0.2500 0.5000 0.5000

=====

Entry 7:
Crystalline AuSe2Cl at its relaxed geometry. Source: Alexandria, functional GGA-PBEsol.

Results
**Crystal system**: monoclinic
**M_tot**: 0.00 μB per formula unit
**Energy relative to the elements, uncorrected**: -0.34 eV/f.u.
**Symmetry**: No. 12

a = 3.7190 Å, b = 4.1106 Å, c = 6.8105 Å
α = 99.45°, β = 90.00°, γ = 116.90°
Fractional positions:
Au1 0.0000 0.0000 0.5000
Se1 0.6636 0.3271 0.7048
Se2 0.3364 0.6729 0.2952
Cl1 0.5000 0.0000 0.0000

=====

Entry 8:
Crystalline AuSeCl2 at its relaxed geometry. Source: Alexandria, functional GGA-PBEsol.

Results
**Crystal system**: orthorhombic
**M_tot**: 0.00 μB per formula unit
**Energy relative to the elements, uncorrected**: 1.04 eV/f.u.
**Symmetry**: No. 71

a = 3.2186 Å, b = 5.4300 Å, c = 5.4300 Å
α = 71.88°, β = 72.76°, γ = 72.76°
Fractional positions:
Au1 0.5000 0.0000 0.0000
Se1 0.0000 0.5000 0.5000
Cl1 0.2287 0.7713 0.7713
Cl2 0.7713 0.2287 0.2287

=====

Entry 9:
Crystalline AuSe2Cl at its relaxed geometry. Source: Alexandria, functional GGA-PBEsol.

Results
**Crystal system**: monoclinic
**M_tot**: 0.00 μB per formula unit
**Energy relative to the elements, uncorrected**: -0.53 eV/f.u.
**Symmetry**: No. 10

a = 3.7622 Å, b = 4.3507 Å, c = 5.9385 Å
α = 111.04°, β = 90.00°, γ = 90.00°
Fractional positions:
Au1 0.5000 0.0000 0.5000
Se1 0.0000 0.2413 0.3370
Se2 0.0000 0.7587 0.6630
Cl1 0.5000 0.5000 0.0000

=====

Entry 10:
Crystalline Si2AuCl at its relaxed geometry. Source: Alexandria, functional GGA-PBEsol.

Results
**Crystal system**: trigonal
**M_tot**: 0.00 μB per formula unit
**Energy relative to the elements, uncorrected**: 0.36 eV/f.u.
**Symmetry**: No. 166
**Polymorph energy (0 for the lowest one)**: 0.00 eV per formula unit

a = 3.9939 Å, b = 3.9939 Å, c = 6.1927 Å
α = 71.19°, β = 71.19°, γ = 60.00°
Fractional positions:
Au1 0.5000 0.5000 0.5000
Cl1 0.0000 0.0000 0.0000
Si1 0.2202 0.2202 0.3395
Si2 0.7798 0.7798 0.6605

=====

Entry 11:
Crystalline Si2AuCl at its relaxed geometry. Source: Alexandria, functional GGA-PBEsol.

Results
**Crystal system**: tetragonal
**M_tot**: 0.00 μB per formula unit
**Energy relative to the elements, uncorrected**: 1.38 eV/f.u.
**Symmetry**: No. 123
**Polymorph energy (0 for the lowest one)**: 1.02 eV per formula unit

a = 2.7977 Å, b = 4.9431 Å, c = 4.9431 Å
α = 90.00°, β = 90.00°, γ = 90.00°
Fractional positions:
Au1 0.5000 0.5000 0.5000
Cl1 0.5000 0.0000 0.0000
Si1 0.0000 0.0000 0.5000
Si2 0.0000 0.5000 0.0000

=====

Entry 12:
Crystalline Si2AuCl at its relaxed geometry. Source: Alexandria, functional GGA-PBEsol.

Results
**Crystal system**: cubic
**M_tot**: 0.00 μB per formula unit
**Energy relative to the elements, uncorrected**: 1.38 eV/f.u.
**Symmetry**: No. 225
**Polymorph energy (0 for the lowest one)**: 1.02 eV per formula unit

a = 4.5342 Å, b = 4.5342 Å, c = 4.5342 Å
α = 60.00°, β = 60.00°, γ = 60.00°
Fractional positions:
Au1 0.0000 0.0000 0.0000
Cl1 0.5000 0.5000 0.5000
Si1 0.2500 0.2500 0.2500
Si2 0.7500 0.7500 0.7500